[1]
Crystalline BaAgRuC2 at its relaxed geometry, computed with PBE.

Unit cell a=4.1186 b=6.2284 c=4.1186 alpha=90.00 beta=90.00 gamma=90.00
Last column: nearest neighbours and their distance in Å.
Sites, in units of the cell vectors:
Ru 0.0000 0.0000 0.0000  4 C 2.06
C 0.0000 0.0000 0.5000  2 Ru 2.06
C 0.5000 0.0000 0.0000  2 Ru 2.06
Ba 0.0000 0.5000 0.0000  4 Ag 2.91, 2 Ru 3.11
Ag 0.5000 0.5000 0.5000  4 Ba 2.91

Calculated values
Mass density ... 5.8 Mg/m³
Spin magnetization ... 0.0 μB/cell
Crystal system ... tetragonal
Formation energy from the elements ... 7.030 eV per formula unit
E ... -5.09 eV per atom

[2]
Crystalline BaAg2CSe at its relaxed geometry, computed with PBE.

Unit cell a=5.0015 b=5.3077 c=5.0015 alpha=90.00 beta=90.00 gamma=90.00
Last column: nearest neighbours and their distance in Å.
Sites, in units of the cell vectors:
C 0.0000 0.5000 0.0000  2 Se 2.65
Se 0.0000 0.0000 0.0000  4 Ag 2.50, 2 C 2.65
Ba 0.5000 0.5000 0.5000  4 C 3.54, 8 Ag 3.65
Ag 0.0000 0.0000 0.5000  2 Se 2.50
Ag 0.5000 0.0000 0.0000  2 Se 2.50

Calculated values
Mass density ... 5.6 Mg/m³
Spin magnetization ... 1.4 μB/cell
Crystal system ... tetragonal
E ... -3.14 eV per atom

[3]
Crystalline BaTiAg2C at its relaxed geometry, computed with PBE.

Unit cell a=4.9574 b=4.2543 c=4.9574 alpha=90.00 beta=90.00 gamma=90.00
Last column: nearest neighbours and their distance in Å.
Sites, in units of the cell vectors:
C 0.0000 0.0000 0.0000  2 Ti 2.13
Ba 0.5000 0.5000 0.5000  8 Ag 3.27, 4 Ti 3.51
Ag 0.0000 0.0000 0.5000  2 C 2.48
Ag 0.5000 0.0000 0.0000  2 C 2.48
Ti 0.0000 0.5000 0.0000  2 C 2.13

Calculated values
Mass density ... 6.6 Mg/m³
Spin magnetization ... 0.4 μB/cell
Crystal system ... tetragonal
Formation energy from the elements ... 2.562 eV per formula unit
E ... -4.44 eV per atom

[4]
Crystalline BaCa2Ag at its relaxed geometry, computed with PBE.

Unit cell a=4.0017 b=4.0059 c=10.3494 alpha=67.01 beta=90.00 gamma=90.00
Last column: nearest neighbours and their distance in Å.
Sites, in units of the cell vectors:
Ca 0.0000 0.9711 0.0302  8 Ca 3.87-4.01, 1 Ag 4.15, 4 Ba 4.25-4.27
Ca 0.5000 0.1924 0.3077  4 Ag 3.20-3.21
Ba 0.5000 0.8025 0.6966  4 Ag 3.58-3.59, 1 Ca 3.70, 4 Ba 4.00-4.01
Ag 0.0000 0.5340 0.4654  4 Ca 3.20-3.21, 2 Ba 3.58

Calculated values
Mass density ... 3.5 Mg/m³
Spin magnetization ... 0.0 μB/cell
Excess energy over the best structure of this formula in the dataset ... 0.043 eV/atom
Crystal system ... monoclinic
Formation energy from the elements ... -0.491 eV per formula unit
E ... -2.32 eV per atom

[5]
Crystalline BaCa2Ag at its relaxed geometry, computed with PBE.

Unit cell a=5.0535 b=5.0535 c=5.8884 alpha=90.00 beta=90.00 gamma=90.03
Last column: nearest neighbours and their distance in Å.
Sites, in units of the cell vectors:
Ca 0.0000 0.0000 0.0000  4 Ca 3.57, 4 Ag 3.88, 4 Ba 3.88
Ca 0.5000 0.5000 0.0000  4 Ca 3.57, 4 Ba 3.88, 4 Ag 3.88
Ba 0.0000 0.5000 0.5000  4 Ag 3.57, 8 Ca 3.88
Ag 0.5000 0.0000 0.5000  4 Ba 3.57, 8 Ca 3.88

Calculated values
Mass density ... 3.6 Mg/m³
Spin magnetization ... 0.0 μB/cell
Excess energy over the best structure of this formula in the dataset ... 0.177 eV/atom
Crystal system ... tetragonal
Formation energy from the elements ... 0.046 eV per formula unit
E ... -2.18 eV per atom

[6]
Crystalline BaCa4Ag at its relaxed geometry, computed with PBE.

Unit cell a=7.1692 b=7.1692 c=7.1692 alpha=60.00 beta=60.00 gamma=60.00
Last column: nearest neighbours and their distance in Å.
Sites, in units of the cell vectors:
Ba 0.0000 0.0000 0.0000  12 Ca 4.20, 4 Ag 4.39
Ca 0.8745 0.3752 0.3752  6 Ca 3.58-3.59
Ca 0.3752 0.3752 0.8745  6 Ca 3.58-3.59
Ca 0.3752 0.8745 0.3752  6 Ca 3.58-3.59
Ca 0.3752 0.3752 0.3752  6 Ca 3.58-3.59
Ag 0.7500 0.7500 0.7500  12 Ca 4.20, 4 Ba 4.39

Calculated values
Mass density ... 2.6 Mg/m³
Spin magnetization ... 0.0 μB/cell
Excess energy over the best structure of this formula in the dataset ... 0.322 eV/atom
Crystal system ... cubic
Formation energy from the elements ... 1.470 eV per formula unit
E ... -1.89 eV per atom

[7]
Crystalline BaCa2Ag at its relaxed geometry, computed with PBE.

Unit cell a=4.7459 b=6.9892 c=9.9416 alpha=90.00 beta=90.00 gamma=109.86
Last column: nearest neighbours and their distance in Å.
Sites, in units of the cell vectors:
Ba 0.9393 0.8795 0.2500  3 Ag 3.60-3.87
Ba 0.0607 0.1205 0.7500  3 Ag 3.60-3.87
Ca 0.3482 0.6963 0.5591  3 Ag 3.22-3.42
Ca 0.6518 0.3037 0.4409  3 Ag 3.22-3.42
Ca 0.3482 0.6963 0.9409  3 Ag 3.22-3.42
Ca 0.6518 0.3037 0.0591  3 Ag 3.22-3.42
Ag 0.7660 0.5317 0.7500  6 Ca 3.22-3.42, 2 Ba 3.60
Ag 0.2340 0.4683 0.2500  6 Ca 3.22-3.42, 2 Ba 3.60

Calculated values
Mass density ... 3.5 Mg/m³
Spin magnetization ... 0.0 μB/cell
Excess energy over the best structure of this formula in the dataset ... 0.000 eV/atom
Crystal system ... monoclinic
Formation energy from the elements ... -0.664 eV per formula unit
E ... -2.36 eV per atom

[8]
Crystalline BaCa2Ag at its relaxed geometry, computed with PBE.

Unit cell a=5.9375 b=5.9375 c=5.9375 alpha=60.00 beta=60.00 gamma=60.00
Last column: nearest neighbours and their distance in Å.
Sites, in units of the cell vectors:
Ca 0.0000 0.0000 0.0000  4 Ba 3.64, 4 Ca 3.64
Ca 0.2500 0.2500 0.2500  4 Ca 3.64, 4 Ag 3.64
Ba 0.7500 0.7500 0.7500  4 Ag 3.64, 4 Ca 3.64
Ag 0.5000 0.5000 0.5000  4 Ba 3.64, 4 Ca 3.64

Calculated values
Mass density ... 3.7 Mg/m³
Spin magnetization ... 0.0 μB/cell
Excess energy over the best structure of this formula in the dataset ... 0.211 eV/atom
Crystal system ... cubic
Formation energy from the elements ... 0.180 eV per formula unit
E ... -2.15 eV per atom